(1)
Crystalline DyThScZn at its relaxed geometry, computed with PBE.

Unit cell a=3.491 b=3.491 c=8.270 alpha=90.00 beta=90.00 gamma=90.00
Fractional positions:
1 Dy 0.500 0.500 0.782
2 Th 0.000 0.000 0.086
3 Sc 0.500 0.500 0.365
4 Zn 0.000 0.000 0.552

Properties
- ρ: 8.32 g cm⁻³
- DOS(E_F): 5.2 states/eV/f.u.
- Formation enthalpy at 0 K: -166 meV/atom
- Space-group type: P4mm
- Polymorph energy (0 for the lowest one): 0.0000 eV per atom
- Magnetization: 0.0 μB per cell
- Final energy: -5.07 eV/atom

***

(2)
Crystalline DyThScZn at its relaxed geometry, computed with PBE.

Unit cell a=5.264 b=5.264 c=5.264 alpha=60.00 beta=60.00 gamma=60.00
Fractional positions:
1 Sc 0.500 0.500 0.500
2 Zn 0.000 0.000 0.000
3 Th 0.750 0.750 0.750
4 Dy 0.250 0.250 0.250

Properties
- ρ: 8.13 g cm⁻³
- DOS(E_F): 5.5 states/eV/f.u.
- Formation enthalpy at 0 K: 29 meV/atom
- Space-group type: F-43m
- Polymorph energy (0 for the lowest one): 0.1953 eV per atom
- Magnetization: 1.1 μB per cell
- Final energy: -4.88 eV/atom

***

(3)
Crystalline DyThZrSc3 at its relaxed geometry, computed with PBE.

Unit cell a=4.776 b=7.483 c=9.971 alpha=116.66 beta=90.00 gamma=90.00
Fractional positions:
1 Dy 0.250 0.129 0.297
2 Dy 0.750 0.871 0.703
3 Th 0.250 0.627 0.128
4 Th 0.750 0.373 0.872
5 Zr 0.250 0.118 0.619
6 Zr 0.750 0.882 0.381
7 Sc 0.750 0.873 0.047
8 Sc 0.250 0.127 0.953
9 Sc 0.250 0.637 0.458
10 Sc 0.750 0.363 0.542
11 Sc 0.750 0.390 0.212
12 Sc 0.250 0.610 0.788

Properties
- ρ: 6.47 g cm⁻³
- DOS(E_F): 9.1 states/eV/f.u.
- Formation enthalpy at 0 K: 44 meV/atom
- Space-group type: P2_1/m
- Magnetization: 0.0 μB per cell
- Final energy: -6.55 eV/atom

***

(4)
Crystalline Dy2ThZrSc4 at its relaxed geometry, computed with PBE.

Unit cell a=5.451 b=5.451 c=9.009 alpha=52.73 beta=90.00 gamma=90.00
Fractional positions:
1 Dy 0.000 0.000 0.000
2 Dy 0.500 0.000 0.500
3 Th 0.500 0.500 0.000
4 Zr 0.000 0.500 0.500
5 Sc 0.000 0.763 0.736
6 Sc 0.000 0.237 0.264
7 Sc 0.500 0.736 0.264
8 Sc 0.500 0.264 0.736

Properties
- ρ: 6.46 g cm⁻³
- DOS(E_F): 11.7 states/eV/f.u.
- Formation enthalpy at 0 K: 90 meV/atom
- Space-group type: P4/mmm
- Magnetization: 0.0 μB per cell
- Final energy: -6.22 eV/atom